Be2PRuPt: single point on PBEsol structure, SCAN.

```
data_Be2PRuPt
_cell_length_a 3.958
_cell_length_b 3.958
_cell_length_c 4.469
_cell_angle_alpha 90.00
_cell_angle_beta 90.00
_cell_angle_gamma 90.00
_symmetry_space_group_name_H-M 'P 4/m m m'
_symmetry_Int_Tables_number 123
_symmetry_space_group_name_Hall '-P 4 2'
loop_
_atom_site_label
_atom_site_type_symbol
_atom_site_fract_x
_atom_site_fract_y
_atom_site_fract_z
_atom_site_occupancy
Be1 Be 0.000 0.500 0.000 1
P1 P 0.000 0.000 0.000 1
Ru1 Ru 0.500 0.500 0.500 1
Pt1 Pt 0.000 0.000 0.500 1
```

As for the formation energy from the elements: 0.6610 eV per atom. The calculation puts the volume at 14.0 A^3/atom.

TeIrRh: single point on PBEsol structure, SCAN.

```
data_TeIrRh
_cell_length_a 6.076
_cell_length_b 6.076
_cell_length_c 6.076
_cell_angle_alpha 90.00
_cell_angle_beta 90.00
_cell_angle_gamma 90.00
_symmetry_space_group_name_H-M 'F -4 3 m'
_symmetry_Int_Tables_number 216
_symmetry_space_group_name_Hall 'F -4 2 3'
loop_
_atom_site_label
_atom_site_type_symbol
_atom_site_fract_x
_atom_site_fract_y
_atom_site_fract_z
_atom_site_occupancy
Te1 Te 0.000 0.000 0.000 1
Ir1 Ir 0.000 0.000 0.500 1
Rh1 Rh 0.250 0.250 0.750 1
```

For the uncorrected formation energy, the calculation gives 0.393 eV/atom. The calculation puts the volume at 18.7 A^3/atom.

TiPt3: single point on PBEsol structure, SCAN.

```
data_TiPt3
_cell_length_a 3.896
_cell_length_b 3.896
_cell_length_c 3.896
_cell_angle_alpha 90.00
_cell_angle_beta 90.00
_cell_angle_gamma 90.00
_symmetry_space_group_name_H-M 'P m -3 m'
_symmetry_Int_Tables_number 221
_symmetry_space_group_name_Hall '-P 4 2 3'
loop_
_atom_site_label
_atom_site_type_symbol
_atom_site_fract_x
_atom_site_fract_y
_atom_site_fract_z
_atom_site_occupancy
Ti1 Ti 0.000 0.000 0.000 1
Pt1 Pt 0.000 0.500 0.500 1
```

As for the formation energy from the elements: -0.9871 eV per atom. The calculation puts the volume at 14.8 A^3/atom.

Mn5Al8: single point on PBEsol structure, SCAN.

```
data_Mn5Al8
_cell_length_a 8.852
_cell_length_b 8.852
_cell_length_c 8.852
_cell_angle_alpha 90.00
_cell_angle_beta 90.00
_cell_angle_gamma 90.00
_symmetry_space_group_name_H-M 'I -4 3 m'
_symmetry_Int_Tables_number 217
_symmetry_space_group_name_Hall 'I -4 2 3'
loop_
_atom_site_label
_atom_site_type_symbol
_atom_site_fract_x
_atom_site_fract_y
_atom_site_fract_z
_atom_site_occupancy
Mn1 Mn 0.000 0.000 0.354 1
Mn2 Mn 0.174 0.174 0.826 1
Al1 Al 0.034 0.313 0.313 1
Al2 Al 0.107 0.107 0.107 1
```

As for the formation energy from the elements: -0.3725 eV per atom. The calculation puts the volume at 13.3 A^3/atom.

TiCr2Ni3P6O24: single point on PBEsol structure, SCAN.

```
data_TiCr2Ni3P6O24
_cell_length_a 8.4737
_cell_length_b 8.4737
_cell_length_c 19.6746
_cell_angle_alpha 90.00
_cell_angle_beta 90.00
_cell_angle_gamma 120.00
_symmetry_space_group_name_H-M 'R 3'
_symmetry_Int_Tables_number 146
_symmetry_space_group_name_Hall 'R 3'
loop_
_atom_site_label
_atom_site_type_symbol
_atom_site_fract_x
_atom_site_fract_y
_atom_site_fract_z
_atom_site_occupancy
Ti1 Ti 0.0000 0.0000 0.0000 1
Cr1 Cr 0.0000 0.0000 0.3536 1
Cr2 Cr 0.0000 0.0000 0.8545 1
Ni1 Ni 0.0000 0.0000 0.2152 1
Ni2 Ni 0.0000 0.0000 0.4949 1
Ni3 Ni 0.0000 0.0000 0.7132 1
P1 P 0.0365 0.3685 0.7744 1
P2 P 0.0419 0.6683 0.2702 1
O1 O 0.0029 0.2031 0.1721 1
O2 O 0.0043 0.1711 0.7842 1
O3 O 0.0073 0.8051 0.6687 1
O4 O 0.0128 0.8369 0.2836 1
O5 O 0.1345 0.6725 0.2048 1
O6 O 0.1557 0.4659 0.7119 1
O7 O 0.1655 0.6721 0.5939 1
O8 O 0.1679 0.4839 0.0896 1
```

For the uncorrected formation energy, the calculation gives -2.242 eV/atom. The calculation puts the volume at 11.3 A^3/atom.

Li2MgBe: single point on PBEsol structure, SCAN.

```
data_Li2MgBe
_cell_length_a 3.008
_cell_length_b 4.445
_cell_length_c 9.233
_cell_angle_alpha 90.00
_cell_angle_beta 90.00
_cell_angle_gamma 90.00
_symmetry_space_group_name_H-M 'I m m m'
_symmetry_Int_Tables_number 71
_symmetry_space_group_name_Hall '-I 2 2'
loop_
_atom_site_label
_atom_site_type_symbol
_atom_site_fract_x
_atom_site_fract_y
_atom_site_fract_z
_atom_site_occupancy
Li1 Li 0.000 0.000 0.224 1
Mg1 Mg 0.000 0.500 0.000 1
Be1 Be 0.000 0.500 0.500 1
```

As for the formation energy from the elements: 0.1707 eV per atom. The calculation puts the volume at 15.4 A^3/atom.

CrPRu2S: single point on PBEsol structure, SCAN.

```
data_CrPRu2S
_cell_length_a 4.411
_cell_length_b 4.411
_cell_length_c 4.167
_cell_angle_alpha 90.00
_cell_angle_beta 90.00
_cell_angle_gamma 90.00
_symmetry_space_group_name_H-M 'P 4/m m m'
_symmetry_Int_Tables_number 123
_symmetry_space_group_name_Hall '-P 4 2'
loop_
_atom_site_label
_atom_site_type_symbol
_atom_site_fract_x
_atom_site_fract_y
_atom_site_fract_z
_atom_site_occupancy
Cr1 Cr 0.000 0.000 0.000 1
P1 P 0.000 0.000 0.500 1
Ru1 Ru 0.000 0.500 0.000 1
S1 S 0.500 0.500 0.500 1
```

For the uncorrected formation energy, the calculation gives 1.276 eV/atom. The calculation puts the volume at 16.2 A^3/atom.

CaTcSb2: single point on PBEsol structure, SCAN.

```
data_CaTcSb2
_cell_length_a 3.3941
_cell_length_b 3.3941
_cell_length_c 27.9998
_cell_angle_alpha 90.00
_cell_angle_beta 90.00
_cell_angle_gamma 120.00
_symmetry_space_group_name_H-M 'R 3 m'
_symmetry_Int_Tables_number 160
_symmetry_space_group_name_Hall 'R 3 -2"'
loop_
_atom_site_label
_atom_site_type_symbol
_atom_site_fract_x
_atom_site_fract_y
_atom_site_fract_z
_atom_site_occupancy
Ca1 Ca 0.0000 0.0000 0.0000 1
Tc1 Tc 0.0000 0.0000 0.7470 1
Sb1 Sb 0.0000 0.0000 0.2391 1
Sb2 Sb 0.0000 0.0000 0.4751 1
```

For the uncorrected formation energy, the calculation gives 0.203 eV/atom. The calculation puts the volume at 23.3 A^3/atom.

Sr2ZnTeSe: single point on PBEsol structure, SCAN.

```
data_Sr2ZnTeSe
_cell_length_a 5.899
_cell_length_b 5.899
_cell_length_c 4.827
_cell_angle_alpha 90.00
_cell_angle_beta 90.00
_cell_angle_gamma 90.00
_symmetry_space_group_name_H-M 'P 4/m m m'
_symmetry_Int_Tables_number 123
_symmetry_space_group_name_Hall '-P 4 2'
loop_
_atom_site_label
_atom_site_type_symbol
_atom_site_fract_x
_atom_site_fract_y
_atom_site_fract_z
_atom_site_occupancy
Sr1 Sr 0.000 0.500 0.000 1
Zn1 Zn 0.000 0.000 0.000 1
Te1 Te 0.000 0.000 0.500 1
Se1 Se 0.500 0.500 0.500 1
```

For the uncorrected formation energy, the calculation gives -0.702 eV/atom. The calculation puts the volume at 33.6 A^3/atom.

ZnCrSi2: single point on PBEsol structure, SCAN.

```
data_ZnCrSi2
_cell_length_a 6.819
_cell_length_b 6.819
_cell_length_c 5.086
_cell_angle_alpha 90.00
_cell_angle_beta 90.00
_cell_angle_gamma 90.00
_symmetry_space_group_name_H-M 'I -4 2 d'
_symmetry_Int_Tables_number 122
_symmetry_space_group_name_Hall 'I -4 2bw'
loop_
_atom_site_label
_atom_site_type_symbol
_atom_site_fract_x
_atom_site_fract_y
_atom_site_fract_z
_atom_site_occupancy
Zn1 Zn 0.000 0.000 0.000 1
Cr1 Cr 0.000 0.000 0.500 1
Si1 Si 0.249 0.750 0.125 1
```

For the uncorrected formation energy, the calculation gives 0.471 eV/atom. The calculation puts the volume at 14.8 A^3/atom.

PNCl2F: single point on PBEsol structure, SCAN.

```
data_PNCl2F
_cell_length_a 5.260
_cell_length_b 5.260
_cell_length_c 3.554
_cell_angle_alpha 90.00
_cell_angle_beta 90.00
_cell_angle_gamma 90.00
_symmetry_space_group_name_H-M 'P 4/m m m'
_symmetry_Int_Tables_number 123
_symmetry_space_group_name_Hall '-P 4 2'
loop_
_atom_site_label
_atom_site_type_symbol
_atom_site_fract_x
_atom_site_fract_y
_atom_site_fract_z
_atom_site_occupancy
P1 P 0.000 0.000 0.000 1
N1 N 0.500 0.500 0.000 1
Cl1 Cl 0.000 0.500 0.500 1
F1 F 0.000 0.000 0.500 1
```

For the uncorrected formation energy, the calculation gives 1.102 eV/atom. The calculation puts the volume at 19.7 A^3/atom.

Ce2SeF4: single point on PBEsol structure, SCAN.

```
data_Ce2SeF4
_cell_length_a 4.0894
_cell_length_b 4.0894
_cell_length_c 22.7137
_cell_angle_alpha 90.00
_cell_angle_beta 90.00
_cell_angle_gamma 120.00
_symmetry_space_group_name_H-M 'R -3 m'
_symmetry_Int_Tables_number 166
_symmetry_space_group_name_Hall '-R 3 2"'
loop_
_atom_site_label
_atom_site_type_symbol
_atom_site_fract_x
_atom_site_fract_y
_atom_site_fract_z
_atom_site_occupancy
Ce1 Ce 0.0000 0.0000 0.2439 1
Se1 Se 0.0000 0.0000 0.0000 1
F1 F 0.0000 0.0000 0.1392 1
F2 F 0.0000 0.0000 0.4312 1
```

For the uncorrected formation energy, the calculation gives -3.788 eV/atom. The calculation puts the volume at 15.7 A^3/atom.